[1]
Density functional theory data (PBE-GGA) for crystalline SrTbHg2 at its relaxed geometry.

a = 3.860 Å, b = 3.860 Å, c = 7.734 Å
α = 90.00°, β = 90.00°, γ = 90.00°
Space group P4/mmm (No. 123)
Unique sites:
Sr (0.000, 0.000, 0.000) x1
Tb (0.000, 0.000, 0.500) x1
Hg (0.500, 0.500, 0.280) x2

Values from the calculation:
N(E_F) (states/eV per cell): 3.151
DFT formation energy (eV per atom): -0.505
Crystal system: tetragonal

=====

[2]
Density functional theory data (PBE-GGA) for crystalline InTe at its relaxed geometry.

a = 3.230 Å, b = 6.083 Å, c = 6.322 Å
α = 90.00°, β = 90.00°, γ = 90.00°
Space group Immm (No. 71)
Unique sites:
In (0.000, 0.000, 0.000) x2
Te (0.000, 0.000, 0.500) x2

Values from the calculation:
Raw formation energy (kJ/mol of atoms): -14
N(E_F) (states/eV per cell): 1.916
Crystal system: orthorhombic

=====

[3]
Density functional theory data (PBE-GGA) for crystalline NbCrHg2Te at its relaxed geometry.

a = 5.639 Å, b = 5.639 Å, c = 5.265 Å
α = 90.00°, β = 90.00°, γ = 90.00°
Space group P4/mmm (No. 123)
Unique sites:
Nb (0.000, 0.000, 0.000) x1
Cr (0.500, 0.500, 0.000) x1
Hg (0.000, 0.500, 0.500) x2
Te (0.000, 0.000, 0.500) x1

Values from the calculation:
Raw formation energy (kJ/mol of atoms): 127
N(E_F) (states/eV per cell): 3.536
Crystal system: tetragonal

=====

[4]
Density functional theory data (PBE-GGA) for crystalline Tb8HoEr5 at its relaxed geometry.

a = 9.499 Å, b = 9.499 Å, c = 10.057 Å
α = 90.00°, β = 90.00°, γ = 90.00°
Space group I-4 (No. 82)
Unique sites:
Tb (0.070, 0.175, 0.154) x8
Tb (0.089, 0.326, 0.497) x8
Ho (0.000, 0.000, 0.500) x2
Er (0.000, 0.500, 0.250) x2
Er (0.110, 0.292, 0.825) x8

Values from the calculation:
N(E_F) (states/eV per cell): 42.012
DFT formation energy (eV per atom): 0.258
Crystal system: tetragonal

=====

[5]
Density functional theory data (PBE-GGA) for crystalline La2PmTl at its relaxed geometry.

a = 4.978 Å, b = 4.978 Å, c = 5.140 Å
α = 90.00°, β = 90.00°, γ = 90.00°
Space group P4/mmm (No. 123)
Unique sites:
La (0.000, 0.500, 0.000) x2
Pm (0.000, 0.000, 0.500) x1
Tl (0.500, 0.500, 0.500) x1

Values from the calculation:
Polymorph energy (0 for the lowest one) (meV/atom): 0
N(E_F) (states/eV per cell): 6.305
DFT formation energy (eV per atom): -0.227
Crystal system: tetragonal

=====

[6]
Density functional theory data (PBE-GGA) for crystalline Pm2HfAl3 at its relaxed geometry.

a = 5.9094 Å, b = 5.9094 Å, c = 9.1412 Å
α = 90.00°, β = 90.00°, γ = 120.00°
Space group P6_3/mmc (No. 194)
Unique sites:
Pm (0.3333, 0.6667, 0.0575) x4
Hf (0.0000, 0.0000, 0.0000) x2
Al (0.1744, 0.3488, 0.7500) x6

Values from the calculation:
N(E_F) (states/eV per cell): 7.320
DFT formation energy (eV per atom): -0.380
Crystal system: hexagonal

=====

[7]
Density functional theory data (PBE-GGA) for crystalline AlFeHg2 at its relaxed geometry.

a = 3.0584 Å, b = 3.0584 Å, c = 27.7343 Å
α = 90.00°, β = 90.00°, γ = 120.00°
Space group R3m (No. 160, hexagonal axes)
Unique sites:
Al (0.0000, 0.0000, 0.0000) x3
Fe (0.0000, 0.0000, 0.2670) x3
Hg (0.0000, 0.0000, 0.5214) x3
Hg (0.0000, 0.0000, 0.7534) x3

Values from the calculation:
N(E_F) (states/eV per cell): 5.589
DFT formation energy (eV per atom): 0.244
Crystal system: trigonal

=====

[8]
Density functional theory data (PBE-GGA) for crystalline CeTm12Th7 at its relaxed geometry.

a = 12.1070 Å, b = 12.1070 Å, c = 15.0779 Å
α = 90.00°, β = 90.00°, γ = 120.00°
Space group R-3 (No. 148, hexagonal axes)
Unique sites:
Ce (0.0000, 0.0000, 0.0000) x3
Tm (0.0211, 0.5798, 0.2025) x18
Tm (0.0396, 0.8551, 0.3048) x18
Th (0.0000, 0.0000, 0.5000) x3
Th (0.0721, 0.4838, 0.5880) x18

Values from the calculation:
N(E_F) (states/eV per cell): 100.765
DFT formation energy (eV per atom): 0.230
Crystal system: trigonal

=====

[9]
Density functional theory data (PBE-GGA) for crystalline Hg2IrRh at its relaxed geometry.

a = 2.9853 Å, b = 2.9853 Å, c = 27.2429 Å
α = 90.00°, β = 90.00°, γ = 120.00°
Space group R-3m (No. 166, hexagonal axes)
Unique sites:
Hg (0.0000, 0.0000, 0.2490) x6
Ir (0.0000, 0.0000, 0.0000) x3
Rh (0.0000, 0.0000, 0.5000) x3

Values from the calculation:
Polymorph energy (0 for the lowest one) (meV/atom): 114
N(E_F) (states/eV per cell): 15.494
DFT formation energy (eV per atom): 0.407
Crystal system: trigonal

=====

[10]
Density functional theory data (PBE-GGA) for crystalline La2SiRu at its relaxed geometry.

a = 7.977 Å, b = 7.977 Å, c = 6.204 Å
α = 90.00°, β = 90.00°, γ = 90.00°
Space group I-42d (No. 122)
Unique sites:
La (0.201, 0.250, 0.125) x8
Si (0.000, 0.000, 0.500) x4
Ru (0.000, 0.000, 0.000) x4

Values from the calculation:
Raw formation energy (kJ/mol of atoms): -10
N(E_F) (states/eV per cell): 2.344
Crystal system: tetragonal

=====

[11]
Density functional theory data (PBE-GGA) for crystalline GdZrFeRu at its relaxed geometry.

a = 6.624 Å, b = 6.624 Å, c = 6.624 Å
α = 90.00°, β = 90.00°, γ = 90.00°
Space group F-43m (No. 216)
Unique sites:
Gd (0.000, 0.000, 0.000) x4
Zr (0.000, 0.000, 0.500) x4
Fe (0.250, 0.250, 0.250) x4
Ru (0.250, 0.250, 0.750) x4

Values from the calculation:
N(E_F) (states/eV per cell): 15.860
DFT formation energy (eV per atom): -0.156
Crystal system: cubic

=====

[12]
Density functional theory data (PBE-GGA) for crystalline DyMg2Pd2 at its relaxed geometry.

a = 5.096 Å, b = 4.768 Å, c = 8.432 Å
α = 90.00°, β = 101.24°, γ = 90.00°
Space group P2_1/m (No. 11)
Unique sites:
Dy (0.183, 0.250, 0.283) x2
Mg (0.305, 0.250, 0.666) x2
Mg (0.358, 0.750, 0.968) x2
Pd (0.097, 0.250, 0.925) x2
Pd (0.257, 0.750, 0.500) x2

Values from the calculation:
Polymorph energy (0 for the lowest one) (meV/atom): 0
N(E_F) (states/eV per cell): 3.395
DFT formation energy (eV per atom): -0.644
Crystal system: monoclinic

=====

[13]
Density functional theory data (PBE-GGA) for crystalline Y6TmTh at its relaxed geometry.

a = 6.566 Å, b = 6.737 Å, c = 6.782 Å
α = 119.63°, β = 92.24°, γ = 92.07°
Space group P-1 (No. 2)
Unique sites:
Y (0.243, 0.408, 0.468) x2
Y (0.248, 0.940, 0.967) x2
Y (0.253, 0.922, 0.482) x2
Tm (0.000, 0.500, 0.000) x1
Th (0.500, 0.500, 0.000) x1

Values from the calculation:
Polymorph energy (0 for the lowest one) (meV/atom): 179
N(E_F) (states/eV per cell): 15.977
DFT formation energy (eV per atom): 0.220
Crystal system: triclinic

=====

[14]
Density functional theory data (PBE-GGA) for crystalline Cs3TeMo at its relaxed geometry.

a = 7.342 Å, b = 7.342 Å, c = 7.342 Å
α = 90.00°, β = 90.00°, γ = 90.00°
Space group Pm-3m (No. 221)
Unique sites:
Cs (0.000, 0.000, 0.500) x3
Te (0.000, 0.000, 0.000) x1
Mo (0.500, 0.500, 0.500) x1

Values from the calculation:
Raw formation energy (kJ/mol of atoms): 47
Polymorph energy (0 for the lowest one) (meV/atom): 0
N(E_F) (states/eV per cell): 0.000
Crystal system: cubic

=====

[15]
Density functional theory data (PBE-GGA) for crystalline Sm3YSn12 at its relaxed geometry.

a = 4.770 Å, b = 4.770 Å, c = 18.838 Å
α = 90.00°, β = 90.00°, γ = 90.00°
Space group P4/mmm (No. 123)
Unique sites:
Sm (0.000, 0.000, 0.000) x1
Sm (0.000, 0.000, 0.251) x2
Y (0.000, 0.000, 0.500) x1
Sn (0.000, 0.500, 0.125) x4
Sn (0.000, 0.500, 0.377) x4
Sn (0.500, 0.500, 0.000) x1
Sn (0.500, 0.500, 0.251) x2
Sn (0.500, 0.500, 0.500) x1

Values from the calculation:
N(E_F) (states/eV per cell): 8.966
DFT formation energy (eV per atom): -0.469
Crystal system: tetragonal

=====

[16]
Density functional theory data (PBE-GGA) for crystalline CaZnRu2 at its relaxed geometry.

a = 6.417 Å, b = 6.417 Å, c = 6.417 Å
α = 90.00°, β = 90.00°, γ = 90.00°
Space group F-43m (No. 216)
Unique sites:
Ca (0.000, 0.000, 0.000) x4
Zn (0.250, 0.250, 0.750) x4
Ru (0.000, 0.000, 0.500) x4
Ru (0.250, 0.250, 0.250) x4

Values from the calculation:
N(E_F) (states/eV per cell): 13.581
DFT formation energy (eV per atom): 0.267
Crystal system: cubic

=====

[17]
Density functional theory data (PBE-GGA) for crystalline TiMnZn2 at its relaxed geometry.

a = 6.148 Å, b = 6.148 Å, c = 6.148 Å
α = 90.00°, β = 90.00°, γ = 90.00°
Space group Fm-3m (No. 225)
Unique sites:
Ti (0.000, 0.000, 0.000) x4
Mn (0.000, 0.000, 0.500) x4
Zn (0.250, 0.250, 0.250) x8

Values from the calculation:
Polymorph energy (0 for the lowest one) (meV/atom): 8
N(E_F) (states/eV per cell): 8.451
DFT formation energy (eV per atom): -0.077
Crystal system: cubic

=====

[18]
Density functional theory data (PBE-GGA) for crystalline Ge4IrPt2 at its relaxed geometry.

a = 12.308 Å, b = 3.488 Å, c = 6.335 Å
α = 90.00°, β = 116.26°, γ = 90.00°
Space group C2/m (No. 12)
Unique sites:
Ge (0.087, 0.000, 0.444) x4
Ge (0.139, 0.500, 0.965) x4
Ir (0.000, 0.000, 0.000) x2
Pt (0.239, 0.500, 0.693) x4

Values from the calculation:
Polymorph energy (0 for the lowest one) (meV/atom): 0
N(E_F) (states/eV per cell): 2.760
DFT formation energy (eV per atom): -0.383
Crystal system: monoclinic

=====

[19]
Density functional theory data (PBE-GGA) for crystalline KIn6Se8 at its relaxed geometry.

a = 13.291 Å, b = 13.291 Å, c = 13.291 Å
α = 90.00°, β = 90.00°, γ = 90.00°
Space group Fm-3m (No. 225)
Unique sites:
K (0.000, 0.000, 0.000) x4
In (0.000, 0.250, 0.250) x24
Se (0.141, 0.141, 0.141) x32

Values from the calculation:
Raw formation energy (kJ/mol of atoms): -23
Polymorph energy (0 for the lowest one) (meV/atom): 265
N(E_F) (states/eV per cell): 17.770
Crystal system: cubic

=====

[20]
Density functional theory data (PBE-GGA) for crystalline Ba2Pd15Pb2 at its relaxed geometry.

a = 9.5362 Å, b = 9.5362 Å, c = 13.9708 Å
α = 90.00°, β = 90.00°, γ = 120.00°
Space group R-3m (No. 166, hexagonal axes)
Unique sites:
Ba (0.0000, 0.0000, 0.1457) x6
Pd (0.0000, 0.2987, 0.5000) x18
Pd (0.0000, 0.5000, 0.0000) x9
Pd (0.9997, 0.4999, 0.3451) x18
Pb (0.0000, 0.0000, 0.3921) x6

Values from the calculation:
N(E_F) (states/eV per cell): 64.207
DFT formation energy (eV per atom): -0.248
Crystal system: trigonal